Density functional theory data (GGA-PBE) for an optimized crystal structure of TiZn2TeW.

Electronic total energy, eV for the cell shown: -18.3
Energy relative to the elements, uncorrected, eV/atom: 1.650

Cell and atoms, written as POSCAR:
```
TiZn2TeW
1.0
4.923 0.000 0.000
0.000 5.000 0.000
0.000 0.000 4.923
Zn Te W Ti
2 1 1 1
Direct
0.000 0.000 0.500 Zn
0.500 0.000 0.000 Zn
0.000 0.000 0.000 Te
0.000 0.500 0.000 W
0.500 0.500 0.500 Ti
```